*A*
## BiSbCI2 (PBE-GGA)

Data for a geometry-optimized BiSbCI2 structure.

a = 5.0701 Å, b = 5.0701 Å, c = 5.0036 Å
α = 90.00°, β = 90.00°, γ = 90.00°
Fractional positions:
I  0.0000  0.5000  0.0000
I  0.5000  0.0000  0.0000
Sb  0.0000  0.0000  0.5000
C  0.0000  0.0000  0.0000
Bi  0.5000  0.5000  0.5000

For the calculated volume, the calculation gives 128.6 Å³/cell. As for the density: 7.7 g/cm3. As for the crystal system: tetragonal. The symmetry is No. 123. The total magnetization is 0.0 μB/f.u.

***

*B*
## BiSbCI2 (PBE-GGA)

Data for a geometry-optimized BiSbCI2 structure.

a = 6.1865 Å, b = 6.1865 Å, c = 6.1471 Å
α = 90.00°, β = 90.00°, γ = 90.00°
Fractional positions:
I  0.0000  0.5000  0.0000
I  0.5000  0.0000  0.0000
Sb  0.0000  0.0000  0.5000
C  0.5000  0.5000  0.5000
Bi  0.0000  0.0000  0.0000

For the calculated volume, the calculation gives 235.3 Å³/cell. As for the density: 4.2 g/cm3. As for the crystal system: tetragonal. The symmetry is No. 123. The total magnetization is 3.8 μB/f.u.

***

Most stable structure - *A*; separation to the second - 683 meV per atom.

***

*A*
## BiSb2CI (PBE-GGA)

Data for a geometry-optimized BiSb2CI structure.

a = 4.9482 Å, b = 4.9482 Å, c = 5.0032 Å
α = 90.00°, β = 90.00°, γ = 90.00°
Fractional positions:
I  0.0000  0.0000  0.5000
Sb  0.0000  0.5000  0.0000
Sb  0.5000  0.0000  0.0000
C  0.0000  0.0000  0.0000
Bi  0.5000  0.5000  0.5000

For the calculated volume, the calculation gives 122.5 Å³/cell. As for the density: 8.0 g/cm3. As for the crystal system: tetragonal. The symmetry is No. 123. The total magnetization is 0.0 μB/f.u.

***

*B*
## BiSb2CI (PBE-GGA)

Data for a geometry-optimized BiSb2CI structure.

a = 5.9715 Å, b = 5.9715 Å, c = 6.1091 Å
α = 90.00°, β = 90.00°, γ = 90.00°
Fractional positions:
I  0.0000  0.0000  0.5000
Sb  0.0000  0.5000  0.0000
Sb  0.5000  0.0000  0.0000
C  0.5000  0.5000  0.5000
Bi  0.0000  0.0000  0.0000

For the calculated volume, the calculation gives 217.8 Å³/cell. As for the density: 4.5 g/cm3. As for the crystal system: tetragonal. The symmetry is No. 123. The total magnetization is 0.0 μB/f.u.

***

Most stable structure - *A*; separation to the second - 1037 meV per atom.

***

*A*
## BiTe2CI (PBE-GGA)

Data for a geometry-optimized BiTe2CI structure.

a = 5.9985 Å, b = 5.9985 Å, c = 5.9745 Å
α = 90.00°, β = 90.00°, γ = 90.00°
Fractional positions:
I  0.0000  0.0000  0.5000
C  0.5000  0.5000  0.5000
Te  0.0000  0.5000  0.0000
Te  0.5000  0.0000  0.0000
Bi  0.0000  0.0000  0.0000

For the calculated volume, the calculation gives 215.0 Å³/cell. As for the density: 4.7 g/cm3. As for the crystal system: tetragonal. The symmetry is No. 123. The total magnetization is 0.0 μB/f.u.

***

*B*
## BiTe2CI (PBE-GGA)

Data for a geometry-optimized BiTe2CI structure.

a = 4.9179 Å, b = 4.9179 Å, c = 5.1105 Å
α = 90.00°, β = 90.00°, γ = 90.00°
Fractional positions:
I  0.0000  0.0000  0.5000
C  0.0000  0.0000  0.0000
Te  0.0000  0.5000  0.0000
Te  0.5000  0.0000  0.0000
Bi  0.5000  0.5000  0.5000

For the calculated volume, the calculation gives 123.6 Å³/cell. As for the density: 8.1 g/cm3. As for the crystal system: tetragonal. The symmetry is No. 123. The total magnetization is 0.0 μB/f.u.

***

Most stable structure - *B*; separation to the second - 994 meV per atom.

***

*A*
## In3BiC (PBE-GGA)

Data for a geometry-optimized In3BiC structure.

a = 4.8838 Å, b = 4.8838 Å, c = 4.8838 Å
α = 90.00°, β = 90.00°, γ = 90.00°
Fractional positions:
C  0.0000  0.0000  0.0000
Bi  0.5000  0.5000  0.5000
In  0.0000  0.5000  0.0000
In  0.0000  0.0000  0.5000
In  0.5000  0.0000  0.0000

For the calculated volume, the calculation gives 116.5 Å³/cell. As for the density: 8.1 g/cm3. As for the crystal system: cubic. The symmetry is No. 221. The total magnetization is 0.0 μB/f.u.

***

*B*
## In3BiC (PBE-GGA)

Data for a geometry-optimized In3BiC structure.

a = 5.9919 Å, b = 5.9919 Å, c = 5.9919 Å
α = 90.00°, β = 90.00°, γ = 90.00°
Fractional positions:
C  0.5000  0.5000  0.5000
Bi  0.0000  0.0000  0.0000
In  0.0000  0.5000  0.0000
In  0.0000  0.0000  0.5000
In  0.5000  0.0000  0.0000

For the calculated volume, the calculation gives 215.1 Å³/cell. As for the density: 4.4 g/cm3. As for the crystal system: cubic. The symmetry is No. 221. The total magnetization is 2.2 μB/f.u.

***

Most stable structure - *A*; separation to the second - 1133 meV per atom.